(1)
# Ho5Bi3, single point on PBEsol structure, DFT SCAN
data_Ho5Bi3
_chemical_formula_sum 'Ho20 Bi12'
_cell_length_a 11.773
_cell_length_b 9.342
_cell_length_c 8.110
_cell_angle_alpha 90.00
_cell_angle_beta 90.00
_cell_angle_gamma 90.00
_space_group_name_H-M_alt 'P n m a'
_space_group_IT_number 62
loop_
_space_group_symop_operation_xyz
'x,y,z'
'-x,-y,-z'
'-x+1/2,-y,z+1/2'
'x+1/2,y,-z+1/2'
'x+1/2,-y+1/2,-z+1/2'
'-x+1/2,y+1/2,z+1/2'
'-x,y+1/2,-z'
'x,-y+1/2,z'
loop_
_atom_site_label
_atom_site_fract_x
_atom_site_fract_y
_atom_site_fract_z
Ho1 0.004 0.250 0.020
Ho2 0.063 0.062 0.689
Ho3 0.211 0.750 0.339
Ho4 0.227 0.250 0.328
Bi1 0.029 0.750 0.601
Bi2 0.175 0.507 0.063
# * magnetic moment: 0.00 μB/cell
# * uncorrected energy: -60.86 eV/atom
# * density of states at the Fermi level: 0.717 states/eV/atom

---

(2)
# Ho3Bi, single point on PBEsol structure, DFT SCAN
data_Ho3Bi
_chemical_formula_sum 'Ho3 Bi1'
_cell_length_a 4.744
_cell_length_b 4.744
_cell_length_c 4.744
_cell_angle_alpha 90.00
_cell_angle_beta 90.00
_cell_angle_gamma 90.00
_space_group_name_H-M_alt 'P m -3 m'
_space_group_IT_number 221
_space_group_name_Hall '-P 4 2 3'
loop_
_atom_site_label
_atom_site_fract_x
_atom_site_fract_y
_atom_site_fract_z
Ho1 0.000 0.000 0.500
Bi1 0.500 0.500 0.500
# * magnetic moment: 0.00 μB/cell
# * uncorrected energy: -56.79 eV/atom
# * density of states at the Fermi level: 1.223 states/eV/atom